Entry 1:
Material: CaCrPd3
Method: DFT, PBE-GGA
State: optimized geometry

Summary:
Energy above the lowest structure with this stoichiometry   0.0 meV/atom
Total moment   0.00 Bohr magnetons per cell
Symmetry   Pm-3m, No. 221
Final energy   -5.21 eV/atom
E_form   1.15 eV/f.u.

a = 4.669 Å, b = 4.669 Å, c = 4.669 Å
α = 90.00°, β = 90.00°, γ = 90.00°
Fractional coordinates of all 5 atoms:
Cr 0.000 0.000 0.000
Ca 0.500 0.500 0.500
Pd 0.000 0.500 0.000
Pd 0.500 0.000 0.000
Pd 0.000 0.000 0.500

---

Entry 2:
Material: NdY5Er5
Method: DFT, PBE-GGA
State: optimized geometry

Summary:
Total moment   0.00 Bohr magnetons per cell
Symmetry   P-6m2, No. 187
Final energy   -5.15 eV/atom
E_form   3.25 eV/f.u.

a = 6.068 Å, b = 6.068 Å, c = 11.546 Å
α = 90.00°, β = 90.00°, γ = 120.00°
Fractional coordinates of all 11 atoms:
Er 0.833 0.167 0.500
Er 0.335 0.167 0.500
Er 0.000 0.000 0.734
Er 0.000 0.000 0.266
Er 0.833 0.665 0.500
Y 0.667 0.333 0.160
Y 0.000 0.000 0.000
Y 0.667 0.333 0.840
Y 0.333 0.667 0.676
Y 0.333 0.667 0.324
Nd 0.333 0.667 0.000

---

Entry 3:
Material: PmHoPb
Method: DFT, PBE-GGA
State: optimized geometry

Summary:
Energy above the lowest structure with this stoichiometry   89.8 meV/atom
Total moment   2.39 Bohr magnetons per cell
Symmetry   Cmcm, No. 63
Final energy   -4.71 eV/atom
E_form   -1.09 eV/f.u.

a = 5.553 Å, b = 5.553 Å, c = 6.708 Å
α = 90.00°, β = 90.00°, γ = 120.10°
Each line ends with the local moment (μB).
Fractional coordinates of all 6 atoms:
Pm 0.667 0.333 0.750  0.28
Pm 0.333 0.667 0.250  0.28
Ho 0.000 0.000 0.000  0.50
Ho 0.000 0.000 0.500  0.50
Pb 0.334 0.666 0.750  -0.02
Pb 0.666 0.334 0.250  -0.02

---

Entry 4:
Material: Tl2ReBr2
Method: DFT, PBE-GGA
State: optimized geometry

Summary:
Energy above the lowest structure with this stoichiometry   0.0 meV/atom
Total moment   0.00 Bohr magnetons per cell
Symmetry   P4/mbm, No. 127
Final energy   -3.62 eV/atom

a = 6.760 Å, b = 6.760 Å, c = 6.062 Å
α = 90.00°, β = 90.00°, γ = 90.00°
Fractional coordinates of all 10 atoms:
Tl 0.691 0.809 0.500
Tl 0.309 0.191 0.500
Tl 0.191 0.691 0.500
Tl 0.809 0.309 0.500
Br 0.674 0.174 0.000
Br 0.174 0.326 0.000
Br 0.826 0.674 0.000
Br 0.326 0.826 0.000
Re 0.500 0.500 0.000
Re 0.000 0.000 0.000